A relaxed Tl2HgRhI crystal, computed with PBE.

As for the crystal system: tetragonal. The uncorrected formation energy is -0.168 eV per atom. Its volume is 30.903 A^3/atom.

The space group is P4/mmm (No. 123) and the conventional cell measures 5.392, 5.392 and 5.315 Å, with angles of 90.00, 90.00 and 90.00 degrees. The asymmetric unit holds Tl at (0.000, 0.500, 0.000), Hg at (0.000, 0.000, 0.500), Rh at (0.000, 0.000, 0.000) and I at (0.500, 0.500, 0.500).

A relaxed Pm2Pr3Zn2 crystal, computed with PBE.

For the relative energy among the computed polymorphs, the calculation gives 0 meV/atom. As for the crystal system: monoclinic. The formation energy is -12 kJ/mol of atoms. Its volume is 30.439 A^3/atom.

The space group is C2/m (No. 12) and the conventional cell measures 13.036, 3.813 and 9.533 Å, with angles of 90.00, 115.92 and 90.00 degrees. The asymmetric unit holds Pm at (0.155, 0.000, 0.318), Pr at (0.000, 0.500, 0.500), Pr at (0.110, 0.500, 0.938) and Zn at (0.177, 0.000, 0.729).

A relaxed LaY2TcH crystal, computed with PBE.

The calculation puts the energy at -0.213 Ha/atom. As for the crystal system: tetragonal. Its volume is 31.529 A^3/atom.

The space group is P4/mmm (No. 123) and the conventional cell measures 5.430, 5.430 and 5.346 Å, with angles of 90.00, 90.00 and 90.00 degrees. The asymmetric unit holds La at (0.000, 0.000, 0.000), Y at (0.000, 0.500, 0.500), Tc at (0.000, 0.000, 0.500) and H at (0.500, 0.500, 0.000).

A relaxed RbCrCl3 crystal, computed with PBE.

As for the crystal system: triclinic. The uncorrected formation energy is -1.250 eV per atom. Its volume is 36.345 A^3/atom.

The space group is P1 (No. 1) and the conventional cell measures 6.026, 7.836 and 8.221 Å, with angles of 95.25, 95.74 and 108.39 degrees. The asymmetric unit holds Rb at (0.000, 0.000, 0.000), Rb at (0.240, 0.609, 0.504), Cr at (0.418, 0.627, 0.032), Cr at (0.609, 0.503, 0.960), Cl at (0.229, 0.365, 0.808), Cl at (0.415, 0.849, 0.868), Cl at (0.429, 0.374, 0.189), Cl at (0.603, 0.835, 0.256), Cl at (0.760, 0.598, 0.729) and Cl at (0.975, 0.590, 0.119).

A relaxed CsRb6Hg crystal, computed with PBE.

For the relative energy among the computed polymorphs, the calculation gives 9 meV/atom. As for the crystal system: tetragonal. The formation energy is -2 kJ/mol of atoms. Its volume is 84.284 A^3/atom.

The space group is P4/mmm (No. 123) and the conventional cell measures 6.477, 6.477 and 16.073 Å, with angles of 90.00, 90.00 and 90.00 degrees. The asymmetric unit holds Cs at (0.000, 0.000, 0.000), Rb at (0.000, 0.500, 0.364), Rb at (0.500, 0.500, 0.141) and Hg at (0.000, 0.000, 0.500).

A relaxed TbDy2NpAs4 crystal, computed with PBE.

As for the crystal system: monoclinic. The formation energy is -127 kJ/mol of atoms. Its volume is 24.673 A^3/atom.

The space group is P2/m (No. 10) and the conventional cell measures 7.130, 4.113 and 7.132 Å, with angles of 90.00, 109.32 and 90.00 degrees. The asymmetric unit holds Tb at (0.000, 0.000, 0.000), Dy at (0.500, 0.000, 0.500), Dy at (0.500, 0.500, 0.000), Np at (0.000, 0.500, 0.500), As at (0.249, 0.000, 0.748) and As at (0.249, 0.500, 0.253).